No. 1
This record from Alexandria via LeMat-Bulk describes an optimized crystal structure of La2Pr5In4. The functional is GGA-PBE.

POSCAR file:
```
La2Pr5In4
1.0
8.9082 0.0000 0.0000
0.0000 3.5380 0.0000
-1.0491 0.0000 10.8902
La Pr In
2 5 4
Direct
0.0786 0.0000 0.1342 La
0.9214 0.0000 0.8658 La
0.1574 0.0000 0.6414 Pr
0.4559 0.0000 0.1662 Pr
0.5000 0.0000 0.5000 Pr
0.5441 0.0000 0.8338 Pr
0.8426 0.0000 0.3586 Pr
0.2001 0.5000 0.3813 In
0.2531 0.5000 0.9198 In
0.7469 0.5000 0.0802 In
0.7999 0.5000 0.6187 In
```

**Excess energy over the best structure of this formula in the dataset**: 0 meV/atom
**SG**: P2/m (10)

---

No. 2
This record from Alexandria via LeMat-Bulk describes an optimized crystal structure of La3Pr6In. The functional is GGA-PBE.

POSCAR file:
```
La3Pr6In
1.0
6.7388 -8.0887 0.0000
6.7388 8.0887 0.0000
0.0000 0.0000 6.5601
La Pr In
6 12 2
Direct
0.1439 0.8561 0.5000 La
0.2158 0.3935 0.8240 La
0.3935 0.2158 0.3240 La
0.6065 0.7842 0.8240 La
0.7842 0.6065 0.3240 La
0.8561 0.1439 0.0000 La
0.0695 0.1724 0.5066 Pr
0.0858 0.4706 0.2906 Pr
0.1724 0.0695 0.0066 Pr
0.2480 0.7520 0.9955 Pr
0.4538 0.5462 0.1559 Pr
0.4706 0.0858 0.7906 Pr
0.5294 0.9142 0.2906 Pr
0.5462 0.4538 0.6559 Pr
0.7520 0.2480 0.4955 Pr
0.8276 0.9305 0.5066 Pr
0.9142 0.5294 0.7906 Pr
0.9305 0.8276 0.0066 Pr
0.3403 0.6597 0.5517 In
0.6597 0.3403 0.0517 In
```

**SG**: Cmc2_1 (36)
**E_tot**: -4.60 eV/atom

---

No. 3
This record from Alexandria via LeMat-Bulk describes an optimized crystal structure of La3Pr2In3. The functional is GGA-PBE.

POSCAR file:
```
La3Pr2In3
1.0
9.6512 0.0000 0.0000
-4.8256 8.3582 0.0000
0.0000 0.0000 6.5890
La Pr In
6 4 6
Direct
0.0000 0.2404 0.2500 La
0.0000 0.7596 0.7500 La
0.2404 0.0000 0.2500 La
0.2404 0.2404 0.7500 La
0.7596 0.0000 0.7500 La
0.7596 0.7596 0.2500 La
0.3333 0.6667 0.0000 Pr
0.3333 0.6667 0.5000 Pr
0.6667 0.3333 0.0000 Pr
0.6667 0.3333 0.5000 Pr
0.0000 0.3979 0.7500 In
0.0000 0.6021 0.2500 In
0.3979 0.0000 0.7500 In
0.3979 0.3979 0.2500 In
0.6021 0.0000 0.2500 In
0.6021 0.6021 0.7500 In
```

**Excess energy over the best structure of this formula in the dataset**: 26 meV/atom
**SG**: P6_3/mcm (193)

---

No. 4
This record from Alexandria via LeMat-Bulk describes an optimized crystal structure of La2Pr3In. The functional is GGA-PBE.

POSCAR file:
```
La2Pr3In
1.0
2.5225 -7.9484 0.0000
2.5225 7.9484 0.0000
0.0000 0.0000 5.0278
La Pr In
2 3 1
Direct
0.1635 0.8365 0.0000 La
0.8365 0.1635 0.0000 La
0.0000 0.0000 0.5000 Pr
0.3415 0.6585 0.5000 Pr
0.6585 0.3415 0.5000 Pr
0.5000 0.5000 0.0000 In
```

**Excess energy over the best structure of this formula in the dataset**: 0 meV/atom
**SG**: Cmmm (65)

---

No. 5
This record from Alexandria via LeMat-Bulk describes an optimized crystal structure of La7Pr3In. The functional is GGA-PBE.

POSCAR file:
```
La7Pr3In
1.0
7.2364 0.0000 0.0000
-3.6182 6.2669 0.0000
0.0000 0.0000 8.8613
La Pr In
7 3 1
Direct
0.0000 0.0000 0.0000 La
0.1645 0.3290 0.6649 La
0.1645 0.8355 0.6649 La
0.5042 0.0085 0.9856 La
0.5042 0.4958 0.9856 La
0.6710 0.8355 0.6649 La
0.9915 0.4958 0.9856 La
0.3332 0.1666 0.3322 Pr
0.8334 0.1666 0.3322 Pr
0.8334 0.6668 0.3322 Pr
0.6667 0.3333 0.6555 In
```

**SG**: P3m1 (156)
**E_tot**: -4.63 eV/atom

---

No. 6
This record from Alexandria via LeMat-Bulk describes an optimized crystal structure of LaPrIn6. The functional is GGA-PBE.

POSCAR file:
```
LaPrIn6
1.0
4.7636 0.0000 0.0000
0.0000 4.7636 0.0000
0.0000 0.0000 9.5249
La Pr In
1 1 6
Direct
0.0000 0.0000 0.0000 La
0.0000 0.0000 0.5000 Pr
0.0000 0.5000 0.2516 In
0.0000 0.5000 0.7484 In
0.5000 0.0000 0.2516 In
0.5000 0.0000 0.7484 In
0.5000 0.5000 0.0000 In
0.5000 0.5000 0.5000 In
```

**Excess energy over the best structure of this formula in the dataset**: 0 meV/atom
**SG**: P4/mmm (123)

---

No. 7
This record from Alexandria via LeMat-Bulk describes an optimized crystal structure of La6PrIn. The functional is GGA-PBE.

POSCAR file:
```
La6PrIn
1.0
5.1420 0.0000 0.0000
0.0000 5.1420 0.0000
0.0000 0.0000 10.4524
La Pr In
6 1 1
Direct
0.0000 0.0000 0.0000 La
0.0000 0.0000 0.5000 La
0.0000 0.5000 0.2425 La
0.0000 0.5000 0.7575 La
0.5000 0.0000 0.2425 La
0.5000 0.0000 0.7575 La
0.5000 0.5000 0.5000 Pr
0.5000 0.5000 0.0000 In
```

**Excess energy over the best structure of this formula in the dataset**: 0 meV/atom
**SG**: P4/mmm (123)

---

No. 8
This record from Alexandria via LeMat-Bulk describes an optimized crystal structure of LaPrIn. The functional is GGA-PBE.

POSCAR file:
```
LaPrIn
1.0
5.9834 0.0000 0.0000
0.0000 5.9752 0.0000
0.0000 0.0000 10.3987
La Pr In
4 4 4
Direct
0.2493 0.2500 0.1724 La
0.2507 0.7500 0.6724 La
0.7493 0.2500 0.3276 La
0.7507 0.7500 0.8276 La
0.2496 0.2500 0.8533 Pr
0.2504 0.7500 0.3533 Pr
0.7496 0.2500 0.6467 Pr
0.7504 0.7500 0.1467 Pr
0.2495 0.2500 0.5066 In
0.2505 0.7500 0.0066 In
0.7495 0.2500 0.9934 In
0.7505 0.7500 0.4934 In
```

**Excess energy over the best structure of this formula in the dataset**: 0 meV/atom
**SG**: Pnma (62)

---

No. 9
This record from Alexandria via LeMat-Bulk describes an optimized crystal structure of La4Pr3In4. The functional is GGA-PBE.

POSCAR file:
```
La4Pr3In4
1.0
-1.8937 4.8183 10.0279
1.8937 -4.8183 10.0279
1.8937 4.8183 -10.0279
La Pr In
4 3 4
Direct
0.0077 0.8358 0.1718 La
0.3360 0.1642 0.1718 La
0.6640 0.8358 0.8282 La
0.9923 0.1642 0.8282 La
0.0000 0.5000 0.5000 Pr
0.4061 0.4061 0.0000 Pr
0.5939 0.5939 0.0000 Pr
0.2755 0.7755 0.5000 In
0.2802 0.0000 0.2802 In
0.7198 0.0000 0.7198 In
0.7245 0.2245 0.5000 In
```

**SG**: Immm (71)
**E_tot**: -4.43 eV/atom

---

No. 10
This record from Alexandria via LeMat-Bulk describes an optimized crystal structure of LaPr14In. The functional is GGA-PBE.

POSCAR file:
```
LaPr14In
1.0
10.3929 0.0000 0.0000
0.0000 5.1928 5.1931
0.0000 -5.1928 5.1931
La Pr In
1 14 1
Direct
0.0000 0.0000 0.0000 La
0.0000 0.5000 0.9993 Pr
0.0000 0.9993 0.5000 Pr
0.2447 0.2541 0.2541 Pr
0.2447 0.2543 0.7451 Pr
0.2447 0.7451 0.2543 Pr
0.2447 0.7454 0.7454 Pr
0.5000 0.0001 0.4996 Pr
0.5000 0.4996 0.0001 Pr
0.5000 0.5000 0.5000 Pr
0.5000 0.9994 0.9994 Pr
0.7553 0.2541 0.2541 Pr
0.7553 0.2543 0.7451 Pr
0.7553 0.7451 0.2543 Pr
0.7553 0.7454 0.7454 Pr
0.0000 0.4995 0.4995 In
```

**SG**: Amm2 (38)
**E_tot**: -4.70 eV/atom

---

No. 11
This record from Alexandria via LeMat-Bulk describes an optimized crystal structure of La2Pr2In. The functional is GGA-PBE.

POSCAR file:
```
La2Pr2In
1.0
4.9385 -2.8560 0.0000
4.9385 2.8560 0.0000
-3.2784 0.0000 6.0568
La Pr In
2 2 1
Direct
0.1049 0.1049 0.3150 La
0.8951 0.8951 0.6850 La
0.3183 0.3183 0.9547 Pr
0.6817 0.6817 0.0453 Pr
0.5000 0.5000 0.5000 In
```

**SG**: C2/m (12)
**E_tot**: -4.61 eV/atom

---

No. 12
This record from Alexandria via LeMat-Bulk describes an optimized crystal structure of LaPr5In2. The functional is GGA-PBE.

POSCAR file:
```
LaPr5In2
1.0
7.1010 0.0000 0.0000
0.0000 14.1963 0.0000
0.0000 0.0000 5.0501
La Pr In
2 10 4
Direct
0.0000 0.0000 0.0000 La
0.5000 0.5000 0.0000 La
0.0000 0.5000 0.0000 Pr
0.0059 0.2509 0.0000 Pr
0.2483 0.8745 0.5000 Pr
0.2517 0.3745 0.5000 Pr
0.4941 0.7509 0.0000 Pr
0.5000 0.0000 0.0000 Pr
0.5059 0.2491 0.0000 Pr
0.7483 0.6255 0.5000 Pr
0.7517 0.1255 0.5000 Pr
0.9941 0.7491 0.0000 Pr
0.2467 0.6255 0.5000 In
0.2533 0.1255 0.5000 In
0.7467 0.8745 0.5000 In
0.7533 0.3745 0.5000 In
```

**Excess energy over the best structure of this formula in the dataset**: 0 meV/atom
**SG**: Pbam (55)